## NpPt4Pb (PBE)

Data for a relaxed structure of NpPt4Pb.

Unit cell a=5.453 b=5.453 c=5.453 alpha=60.00 beta=60.00 gamma=60.00
Each line ends with the local moment (μB).
Fractional coordinates of all 6 atoms:
Np 0.000 0.000 0.000  3.68
Pb 0.250 0.250 0.250  0.01
Pt 0.625 0.625 0.125  -0.08
Pt 0.625 0.125 0.625  -0.08
Pt 0.625 0.625 0.625  -0.08
Pt 0.125 0.625 0.625  -0.08

Magnetic moment = 3.554 μB per formula unit
E = -43.446 eV/cell
Calculated volume = 114.6 Å³/cell
DFT formation energy = -254 kJ/mol of formula units
Space-group type = F-43m (216)